Entry 1:
The following is a PBE-GGA calculation of crystalline Pm4SmY2Er2 at its relaxed geometry, from the Alexandria database.

The structure belongs to space group C2/m (No. 12); the cell edges are 15.2814, 5.0798 and 8.0458 Å and the angles 90.00°, 108.35° and 90.00°. Symmetry generates all atoms from Pm at (0.0549, 0.0000, 0.3306), Pm at (0.2224, 0.5000, 0.3315), Sm at (0.0000, 0.5000, 0.0000), Y at (0.1116, 0.5000, 0.6683) and Er at (0.1678, 0.0000, 0.0000).

The formation energy comes out at 0.018 eV/atom.


Entry 2:
The following is a PBE-GGA calculation of crystalline Tb2Pm5PrSc at its relaxed geometry, from the Alexandria database.

The structure belongs to space group Cmc2_1 (No. 36); the cell edges are 5.6574, 20.2759 and 10.5021 Å and the angles 90.00°, 90.00° and 90.00°. Symmetry generates all atoms from Tb at (0.0000, 0.1135, 0.0000), Tb at (0.0000, 0.1160, 0.4242), Pm at (0.0000, 0.0165, 0.7047), Pm at (0.0000, 0.2759, 0.0099), Pm at (0.0000, 0.2969, 0.3956), Pm at (0.0000, 0.3749, 0.7078), Pm at (0.0000, 0.4840, 0.4316), Pr at (0.0000, 0.4090, 0.1474) and Sc at (0.0000, 0.1956, 0.7028).

The formation energy comes out at 0.161 eV/atom.


Entry 3:
The following is a PBE-GGA calculation of crystalline Rb2CeTe3 at its relaxed geometry, from the Alexandria database.

The structure belongs to space group C2/c (No. 15); the cell edges are 14.2326, 9.8009 and 8.2999 Å and the angles 90.00°, 97.57° and 90.00°. Symmetry generates all atoms from Rb at (0.1588, 0.1620, 0.1848), Ce at (0.0000, 0.4142, 0.7500), Te at (0.0000, 0.1196, 0.7500) and Te at (0.1461, 0.4678, 0.5117).

Its uncorrected formation energy is -1.109 eV per atom. For the energy above the most stable polymorph in this dataset, the calculation gives 8.13 kJ per mole of atoms.